1.
MgVO2, optimized geometry, DFT PBE with a Hubbard U; E = -6.5872 eV per atom
1.0
3.1823 0.0000 0.0000
-1.5911 2.7559 0.0000
0.0000 0.0000 17.4189
Mg V O
3 3 6
Cartesian
0.0000 0.0000 0.0000
0.0000 1.8373 11.6126
1.5911 0.9186 5.8063
0.0000 0.0000 8.7095
0.0000 1.8373 2.9032
1.5911 0.9186 14.5158
0.0000 0.0000 6.8846
0.0000 0.0000 10.5343
0.0000 1.8373 1.0783
0.0000 1.8373 4.7280
1.5911 0.9186 12.6909
1.5911 0.9186 16.3406

---

2.
MgVO3, optimized geometry, DFT PBE with a Hubbard U; E = -7.1294 eV per atom
1.0
2.6678 -5.1300 0.0000
2.6678 5.1300 0.0000
0.0000 0.0000 5.3078
Mg V O
2 2 6
Cartesian
2.6678 4.3643 3.9809
2.6678 -4.3643 1.3270
2.6678 0.7215 3.9809
2.6678 -0.7215 1.3270
1.3931 0.0000 0.0000
1.3931 0.0000 2.6539
2.6678 2.4095 3.9809
2.6678 -2.4095 1.3270
3.9424 0.0000 0.0000
3.9424 0.0000 2.6539

---

3.
MgVO2, optimized geometry, DFT PBE with a Hubbard U; E = -6.8900 eV per atom
1.0
3.0808 -6.1707 0.0000
3.0808 6.1707 0.0000
-3.0769 0.0000 4.3422
Mg V O
4 4 8
Cartesian
0.7731 5.4021 3.2566
0.7731 2.3119 3.2566
2.3115 -2.3119 1.0855
2.3115 -5.4021 1.0855
2.3115 3.8543 1.0855
2.3115 0.7732 1.0855
0.7731 -0.7732 3.2566
0.7731 -3.8543 3.2566
0.7212 2.3134 1.1258
-0.7693 0.7706 3.2152
0.7691 -0.7706 1.0441
-0.8173 -2.3134 3.2969
3.9019 2.3134 1.0453
2.3155 0.7706 3.2981
3.8540 -0.7706 1.1270
2.3634 -2.3134 3.2164

---

4.
Mg2V3O8, optimized geometry, DFT PBE with a Hubbard U; distance to the lowest polymorph of the same formula = 0.0 kJ per mole of atoms
1.0
5.9186 0.0000 0.0000
-2.9593 5.1256 0.0000
0.0000 0.0000 9.5049
Mg V O
4 6 16
Cartesian
0.0000 3.4171 0.0000
0.0000 3.4171 3.7956
2.9593 1.7085 4.7524
2.9593 1.7085 8.5480
-0.0029 1.6718 6.8625
-1.5100 4.2922 6.8625
1.4493 0.8334 2.1101
1.5129 4.2872 6.8625
2.9564 3.4538 2.1101
4.4722 0.8384 2.1101
0.0000 0.0000 3.1438
0.0000 0.0000 7.8963
-1.3527 2.7246 8.0091
-0.0884 1.6738 1.1719
-1.4655 4.3653 1.1719
1.4938 0.7603 5.9243
0.0000 3.4171 5.7924
1.2761 2.5918 8.0091
0.0766 4.9349 8.0091
1.6065 2.4011 3.2566
3.0359 0.1908 3.2566
2.9593 1.7085 1.0400
1.5539 4.2121 1.1719
2.8709 3.4518 5.9243
4.5132 0.9135 5.9243
4.2354 2.5338 3.2566

---

5.
Mg2V3O8, optimized geometry, DFT PBE with a Hubbard U; distance to the lowest polymorph of the same formula = 2.2 kJ per mole of atoms
1.0
4.8892 0.0000 0.0000
0.0000 6.0112 0.0000
-1.1949 0.0000 9.7537
Mg V O
4 6 16
Cartesian
0.0528 0.0000 2.1745
1.7818 3.0056 2.6987
1.9126 3.0056 7.0550
3.6415 0.0000 7.5791
-0.5974 1.6076 4.8768
0.0000 3.0056 0.0000
-0.5974 4.4036 4.8768
1.8472 0.0000 4.8768
2.4446 1.4122 0.0000
2.4446 4.5990 0.0000
0.2161 3.0056 5.8777
0.2850 0.0000 5.9190
0.9095 1.6657 1.1166
0.9095 4.3455 1.1166
0.8914 1.3459 3.7263
0.8914 4.6653 3.7263
0.4384 0.0000 8.7532
0.4502 3.0056 8.6965
3.2442 3.0056 1.0571
3.2559 0.0000 1.0005
2.8030 1.3459 6.0274
2.8030 4.6653 6.0274
2.7848 1.6657 8.6370
2.7848 4.3455 8.6370
3.4094 0.0000 3.8347
3.4783 3.0056 3.8760

---

6.
MgV4O8, optimized geometry, DFT PBE with a Hubbard U; distance to the lowest polymorph of the same formula = 4.8 kJ per mole of atoms
1.0
2.9573 1.7074 5.0184
-2.9573 1.7074 5.0184
0.0000 -3.4148 5.0184
Mg V O
1 4 8
Cartesian
0.0000 0.0000 0.0000
-2.9573 0.0000 7.5276
-1.4786 0.8537 2.5092
1.4786 0.8537 2.5092
0.0000 0.0000 7.5277
-1.5325 -0.8848 8.6125
0.0000 0.0000 3.5015
0.0000 -1.7695 6.4428
-1.5325 0.8848 6.4428
1.5325 -0.8848 8.6125
0.0000 1.7695 8.6125
0.0000 0.0000 11.5538
1.5325 0.8848 6.4428

---

7.
Mg3VO4, optimized geometry, DFT PBE with a Hubbard U; distance to the lowest polymorph of the same formula = 0.0 kJ per mole of atoms
1.0
5.2659 0.0000 0.0000
0.0000 6.0842 0.0000
-1.7568 0.0000 4.9691
Mg V O
6 2 8
Cartesian
-0.4392 0.7551 1.2423
-1.3176 2.2737 3.7268
-0.4392 3.8104 1.2423
-1.3176 5.3291 3.7268
1.3154 0.7589 3.7268
2.1937 5.3253 1.2423
2.1937 2.2625 1.2423
1.3154 3.8217 3.7268
0.3888 2.2566 2.4886
1.2672 3.8276 0.0040
-0.4467 0.7272 4.9422
0.4317 5.3569 2.4576
3.0774 0.7272 2.5115
3.9558 5.3569 0.0269
2.2419 2.2566 4.9651
3.1203 3.8276 2.4805

---

8.
Mg3V2O8, optimized geometry, DFT PBE with a Hubbard U; distance to the lowest polymorph of the same formula = 0.0 kJ per mole of atoms
1.0
3.0622 -5.8078 0.0000
3.0622 5.8078 0.0000
0.0000 0.0000 8.4174
Mg V O
6 4 16
Cartesian
0.0000 0.0000 0.0000
1.5311 1.5765 2.1044
1.5311 -1.5765 6.3131
3.0622 0.0000 4.2087
4.5933 1.5765 2.1044
4.5933 -1.5765 6.3131
3.0622 4.4145 3.2023
3.0622 1.3933 7.4110
3.0622 -1.3933 1.0064
3.0622 -4.4145 5.2151
3.0622 5.7776 6.3559
1.4038 1.3589 4.2088
1.6584 1.3589 8.4173
3.0622 2.9125 2.3133
3.0622 2.8953 6.5220
1.4038 -1.3589 4.2086
1.6584 -1.3589 0.0001
3.0622 0.0302 2.1472
3.0622 -0.0302 6.2702
4.4661 1.3589 8.4173
4.7206 1.3589 4.2088
3.0622 -2.8953 1.8954
3.0622 -2.9125 6.1041
4.4661 -1.3589 0.0001
4.7206 -1.3589 4.2086
3.0622 -5.7776 2.0615

---

9.
MgVO3, optimized geometry, DFT PBE with a Hubbard U; E = -6.8670 eV per atom
1.0
2.6047 -5.2081 0.0000
2.6047 5.2081 0.0000
0.0000 0.0000 5.3290
Mg V O
2 2 6
Cartesian
2.6047 3.3974 0.0000
2.6047 -3.3974 0.0000
2.6047 1.8177 2.6645
2.6047 -1.8177 2.6645
0.0000 0.0000 0.0000
1.3023 2.6041 1.4432
1.3023 2.6041 3.8858
1.3023 -2.6041 1.4432
1.3023 -2.6041 3.8858
2.6047 0.0000 2.6645

---

10.
Mg5V3O12, optimized geometry, DFT PBE with a Hubbard U; E = -6.2983 eV per atom
1.0
-5.9187 5.9187 5.9187
5.9187 -5.9187 5.9187
5.9187 5.9187 -5.9187
Mg V O
20 12 48
Cartesian
0.0000 0.0000 0.0000
2.9594 2.9594 -2.9594
2.9594 -2.9594 2.9594
5.9187 0.0000 0.0000
8.8781 1.4797 0.0000
5.9187 -2.9594 4.4391
4.4391 5.9187 -2.9594
4.4391 0.0000 2.9594
2.9594 4.4391 0.0000
5.9187 2.9594 1.4797
-2.9594 2.9594 2.9594
0.0000 5.9187 0.0000
0.0000 0.0000 5.9187
2.9594 2.9594 2.9594
0.0000 2.9594 4.4391
2.9594 1.4797 5.9187
1.4797 5.9187 2.9594
1.4797 0.0000 8.8781
0.0000 8.8781 1.4797
-2.9594 4.4391 5.9187
2.9594 1.4797 0.0000
5.9187 2.9594 -1.4797
1.4797 0.0000 2.9594
7.3984 0.0000 2.9594
0.0000 2.9594 1.4797
2.9594 -1.4797 5.9187
2.9594 7.3984 0.0000
5.9187 2.9594 4.4391
-1.4797 5.9187 2.9594
4.4391 5.9187 2.9594
0.0000 2.9594 7.3984
2.9594 4.4391 5.9187
1.8086 -0.3007 0.9592
7.0695 3.9186 -3.2600
5.6181 -0.9592 1.8086
9.1788 -1.1508 2.0001
7.7273 0.3007 0.9592
7.0695 -2.0001 3.2600
0.9592 1.8086 -0.3007
7.9189 2.6587 -1.1508
3.9186 3.2600 -1.1508
4.9595 1.8086 0.3007
-0.3007 0.9592 1.8086
3.2600 -1.1508 3.9186
5.6181 4.9595 -1.8086
3.2600 1.1508 2.0001
4.9595 -1.8086 5.6181
3.9186 -3.2600 7.0695
2.0001 3.2600 1.1508
6.8780 4.1102 0.3007
1.8086 5.6181 -0.9592
7.0695 2.0001 2.6587
3.2600 7.0695 -2.0001
5.6181 0.9592 4.1102
1.1508 2.0001 3.2600
1.8086 0.3007 4.9595
4.1102 5.6181 0.9592
4.7679 3.9186 2.6587
0.3007 4.9595 1.8086
2.6587 -1.1508 7.9189
-1.1508 3.9186 3.2600
4.1102 0.3007 6.8780
-0.9592 1.8086 5.6181
3.9186 2.6587 4.7679
2.0001 9.1788 -1.1508
0.9592 7.7273 0.3007
2.6587 4.7679 3.9186
0.3007 0.9592 7.7273
2.6587 7.0695 2.0001
6.2194 4.9595 4.1102
0.9592 4.1102 5.6181
2.0001 2.6587 7.0695
-2.0001 3.2600 7.0695
4.9595 4.1102 6.2194
-1.1508 7.9189 2.6587
-1.8086 5.6181 4.9595
-3.2600 7.0695 3.9186
0.3007 6.8780 4.1102
-1.1508 2.0001 9.1788
4.1102 6.2194 4.9595

---

11.
Mg4V2O9, optimized geometry, DFT PBE with a Hubbard U; E = -6.7289 eV per atom
1.0
5.0933 0.0000 0.0000
-2.5466 4.4109 0.0000
0.0000 0.0000 13.7956
Mg V O
8 4 18
Cartesian
0.0000 2.9406 2.6479
0.0000 2.9406 6.6187
0.0000 2.9406 9.5457
0.0000 2.9406 13.5165
2.5466 1.4703 0.2791
2.5466 1.4703 4.2499
2.5466 1.4703 7.1769
2.5466 1.4703 11.1476
0.0000 0.0000 2.0080
0.0000 0.0000 4.8898
0.0000 0.0000 8.9057
0.0000 0.0000 11.7876
-0.7203 1.2476 3.4489
-1.8263 3.1633 10.3467
-0.6915 1.4639 8.0926
-1.6246 3.0801 1.1949
1.4406 0.0000 3.4489
0.7203 1.2476 10.3467
0.6915 1.4639 1.1949
-0.9331 4.2778 8.0926
1.6135 0.1331 12.6007
0.9220 1.3308 5.7029
1.6246 3.0801 8.0926
0.9331 4.2778 1.1949
3.4797 0.1331 5.7029
1.8551 2.9470 12.6007
3.6526 0.0000 10.3467
1.8263 3.1633 3.4489
4.1712 1.3308 12.6007
3.2381 2.9470 5.7029

---

12.
Mg2V3O8, optimized geometry, DFT PBE with a Hubbard U; distance to the lowest polymorph of the same formula = 1.5 kJ per mole of atoms
1.0
5.0384 -2.9882 0.0000
5.0384 2.9882 0.0000
-1.1070 0.0000 4.8251
Mg V O
2 3 8
Cartesian
2.0392 0.0000 0.4676
6.9307 0.0000 4.3575
4.4849 1.5751 2.4125
5.0384 0.0000 0.0000
4.4849 -1.5751 2.4125
0.6156 0.0000 1.8860
3.6851 1.3526 0.6693
5.2848 1.3526 4.1558
3.3132 0.0000 3.0773
5.6567 0.0000 1.7478
3.6851 -1.3526 0.6693
5.2848 -1.3526 4.1558
8.3542 0.0000 2.9391